A plane-wave DFT calculation with GGA-PBE was carried out for a relaxed Be2CoAs crystal.

Summary:
Size of the total moment = 0.0 μB per formula unit
Raw total energy = -0.354 Ry per atom
DFT formation energy = -0.009 eV per atom

a b c (Å): 3.503 3.503 3.391
angles (deg): 90.00 90.00 90.00
Space group P4/mmm (No. 123)
Symmetry-distinct sites (fractional):
Be1 0.000 0.500 0.000 [2 per cell]
Co1 0.000 0.000 0.500 [1 per cell]
As1 0.500 0.500 0.500 [1 per cell]